Record 1
Compound: TiMnPOsS
Source: Alexandria
Functional: PBE
Structure: optimized geometry

Geometry as extended XYZ:
```
10
Lattice="-4.510 3.239 -1.398 -0.700 -1.981 -2.333 -3.529 -5.691 5.891" Properties=species:S:1:pos:R:3 pbc="T T T"
Mn -5.486 -0.935 0.327
Mn -6.901 -2.790 4.439
Ti -3.906 -2.776 1.416
Ti -1.792 1.060 -0.363
Os -5.609 -1.447 2.911
Os -4.195 0.407 -1.201
P -3.444 -0.164 1.172
P -5.558 -4.000 2.951
S -0.856 -1.157 -0.873
S -2.270 -3.012 3.238
```

Computed properties:
Distance to the lowest polymorph of the same formula: 158 meV/atom
Density of states at the Fermi level: 7.91 states/eV per cell



Record 2
Compound: Tb2PmDy6Y
Source: Alexandria
Functional: PBE
Structure: optimized geometry

Geometry as extended XYZ:
```
20
Lattice="9.124 -2.066 -2.144 0.809 8.517 -2.031 0.809 -2.345 8.436" Properties=species:S:1:pos:R:3 pbc="T T T"
Dy 9.523 4.934 -1.683
Dy 5.783 4.939 -1.678
Dy 6.708 -2.570 3.291
Dy 2.146 4.417 -1.375
Dy 4.035 6.677 0.971
Dy 8.597 -0.310 5.636
Dy 1.220 -0.827 5.945
Dy 4.112 2.846 0.617
Dy 2.069 4.629 2.466
Dy 4.961 -0.832 5.940
Dy 8.674 -0.522 1.795
Dy 6.631 1.260 3.645
Tb 5.370 -0.152 0.978
Tb 9.936 2.090 3.305
Tb 0.808 2.016 0.957
Tb 5.373 4.258 3.283
Y 3.091 1.575 3.625
Y 7.653 2.531 0.637
Pm 3.091 7.744 -2.319
Pm 7.653 -3.638 6.581
```

Computed properties:
Density of states at the Fermi level: 28.36 states/eV per cell
E_form: 0.1165 eV/atom



Record 3
Compound: K2GaHg2
Source: Alexandria
Functional: PBE
Structure: optimized geometry

Geometry as extended XYZ:
```
10
Lattice="-4.901 -7.842 -4.011 8.572 -3.192 -4.234 0.697 -1.884 2.831" Properties=species:S:1:pos:R:3 pbc="T T T"
Hg -0.662 -9.191 -3.824
Hg 5.030 -3.726 -1.590
Hg 5.019 -8.555 -4.800
Hg -0.651 -4.362 -0.614
Ga 1.836 -5.517 -4.123
Ga 0.000 0.000 0.000
K 1.777 -2.462 -2.076
K 5.438 -5.058 -4.705
K -1.767 -5.975 -3.541
K 1.894 -8.572 -6.170
```

Computed properties:
Distance to the lowest polymorph of the same formula: 129 meV/atom
Density of states at the Fermi level: 6.35 states/eV per cell
E_form: 0.0259 eV/atom



Record 4
Compound: PuZnF5
Source: Alexandria
Functional: PBE
Structure: optimized geometry

Geometry as extended XYZ:
```
14
Lattice="-3.961 2.512 -3.370 -5.004 -2.765 0.815 -4.883 4.439 4.380" Properties=species:S:1:pos:R:3 pbc="T T T"
Zn 0.000 0.000 0.000
Zn -2.442 2.220 2.190
F -6.424 3.707 3.336
F -6.881 0.951 1.621
F -8.567 1.067 3.701
F -5.282 3.118 -1.876
F -6.968 3.234 0.205
F -4.928 -1.017 -0.374
F -9.916 2.448 0.878
F -3.933 1.737 0.947
F -7.425 0.479 -1.510
F -8.921 5.203 2.200
Pu -5.652 1.242 -0.388
Pu -8.197 2.944 2.213
```

Computed properties:
Total energy: -6.592 eV/atom
Density of states at the Fermi level: 15.05 states/eV per cell



Record 5
Compound: In2RuCl
Source: Alexandria
Functional: PBE
Structure: optimized geometry

Geometry as extended XYZ:
```
4
Lattice="-8.753 2.348 -3.871 -9.407 -0.696 -2.852 -9.655 1.818 -0.766" Properties=species:S:1:pos:R:3 pbc="T T T"
Ru -13.806 1.723 -3.717
Cl -21.571 2.691 -5.808
In -27.637 3.448 -7.441
In -6.524 0.814 -1.756
```

Computed properties:
Distance to the lowest polymorph of the same formula: 448 meV/atom
Density of states at the Fermi level: 4.61 states/eV per cell



Record 6
Compound: PuAlZn2
Source: Alexandria
Functional: PBE
Structure: optimized geometry

Geometry as extended XYZ:
```
16
Lattice="4.160 0.000 0.000 0.000 4.349 0.000 0.000 0.000 16.428" Properties=species:S:1:pos:R:3 pbc="T T T"
Zn 1.040 2.172 5.611
Zn 1.040 0.001 15.492
Zn 3.120 2.177 10.817
Zn 1.040 4.347 2.603
Zn 3.120 4.348 0.936
Zn 3.120 0.002 13.825
Zn 3.120 2.173 7.278
Zn 1.040 2.176 9.149
Pu 1.040 0.002 11.372
Pu 3.120 2.172 3.158
Pu 3.120 4.347 5.056
Pu 1.040 2.177 13.269
Al 1.040 2.173 0.875
Al 1.040 4.348 7.339
Al 3.120 2.176 15.553
Al 3.120 0.002 9.088
```

Computed properties:
Density of states at the Fermi level: 31.46 states/eV per cell
E_form: -0.0739 eV/atom



Record 7
Compound: LuHfAlOs
Source: Alexandria
Functional: PBE
Structure: optimized geometry

Geometry as extended XYZ:
```
4
Lattice="4.746 0.000 0.000 2.373 4.110 0.000 2.373 1.370 3.875" Properties=species:S:1:pos:R:3 pbc="T T T"
Os 2.373 1.370 0.969
Hf 4.746 2.740 1.937
Al 7.119 4.110 2.906
Lu 0.000 0.000 0.000
```

Computed properties:
Density of states at the Fermi level: 0.68 states/eV per cell
E_form: -0.3818 eV/atom



Record 8
Compound: Zn4CdS5
Source: Alexandria
Functional: PBE
Structure: optimized geometry

Geometry as extended XYZ:
```
20
Lattice="-0.281 2.262 -3.171 -3.153 -1.865 1.353 -6.971 25.342 18.696" Properties=species:S:1:pos:R:3 pbc="T T T"
Zn -5.441 16.164 9.609
Zn -7.074 17.246 12.930
Zn -8.144 25.991 16.858
Zn -6.793 21.078 13.234
Zn -5.722 12.332 9.304
Zn -4.091 11.258 5.989
Zn -2.632 5.956 2.077
Zn -8.426 22.160 16.554
S -5.212 10.477 7.936
S -3.583 9.412 4.627
S -6.564 15.391 11.561
S -3.755 5.179 4.027
S -6.282 19.223 11.866
S -2.125 4.110 0.716
S -4.931 14.309 8.240
S -2.296 -0.124 0.115
S -7.916 20.304 15.186
S -7.634 24.136 15.490
Cd -4.306 7.183 5.506
Cd -2.848 1.882 1.595
```

Computed properties:
Distance to the lowest polymorph of the same formula: 0 meV/atom